(1)
DFT (GGA-PBE) results for CsY3W after structural relaxation.

Its energy of formation from the pure elements is 709 meV per atom. The value obtained for the total energy is -5.930 eV/atom. As for the space-group type: Pm-3m (221). For the spin magnetization, the calculation gives 0.205 μB per atom.

Cell: 5.6856 5.6856 5.6856 Å, 90.00 90.00 90.00°
Site moments in Bohr magnetons follow the coordinates.
Sites, in units of the cell vectors:
1 Y 0.5000 0.0000 0.0000  0.10
2 Y 0.0000 0.0000 0.5000  0.08
3 Y 0.0000 0.5000 0.0000  0.08
4 Cs 0.5000 0.5000 0.5000  0.02
5 W 0.0000 0.0000 0.0000  0.35

(2)
DFT (GGA-PBE) results for CsY3W after structural relaxation.

Its energy of formation from the pure elements is 2216 meV per atom. The value obtained for the total energy is -4.423 eV/atom. As for the space-group type: Pm-3m (221). For the spin magnetization, the calculation gives 0.000 μB per atom.

Cell: 5.4173 5.4173 5.4173 Å, 90.00 90.00 90.00°
Sites, in units of the cell vectors:
1 Y 0.5000 0.0000 0.0000
2 Y 0.0000 0.5000 0.0000
3 Y 0.0000 0.0000 0.5000
4 Cs 0.0000 0.0000 0.0000
5 W 0.5000 0.5000 0.5000

(3)
DFT (GGA-PBE) results for CsZnW after structural relaxation.

Its energy of formation from the pure elements is 527 meV per atom. The value obtained for the total energy is -4.500 eV/atom. As for the space-group type: C2/m (12). For the spin magnetization, the calculation gives 0.059 μB per atom.

Cell: 3.3596 3.3794 29.2693 Å, 90.00 94.92 90.00°
Sites, in units of the cell vectors:
1 Zn 0.8397 0.5000 0.8220
2 Zn 0.1603 0.5000 0.1780
3 Zn 0.8397 0.0000 0.3220
4 Zn 0.1603 0.0000 0.6780
5 Cs 0.5720 0.5000 0.5832
6 Cs 0.4280 0.0000 0.9168
7 Cs 0.5720 0.0000 0.0832
8 Cs 0.4280 0.5000 0.4168
9 W 0.6957 0.5000 0.7269
10 W 0.3043 0.5000 0.2731
11 W 0.6957 0.0000 0.2269
12 W 0.3043 0.0000 0.7731

(4)
DFT (GGA-PBE) results for CsZnW after structural relaxation.

Its energy of formation from the pure elements is 769 meV per atom. The value obtained for the total energy is -4.257 eV/atom. As for the space-group type: P2_1/m (11). For the spin magnetization, the calculation gives 0.000 μB per atom.

Cell: 5.4478 3.8990 11.3071 Å, 90.00 96.13 90.00°
Sites, in units of the cell vectors:
1 Cs 0.7012 0.7500 0.2957
2 Cs 0.2988 0.2500 0.7043
3 W 0.1009 0.2500 0.0544
4 W 0.8991 0.7500 0.9456
5 Zn 0.6201 0.2500 0.0376
6 Zn 0.3799 0.7500 0.9624